1.
First-principles (GGA-PBE) data for a relaxed structure of Be2TeF, as listed in the Alexandria database.

a b c (Å): 4.6841 4.6841 11.1348
angles (deg): 90.00 90.00 90.00
Atoms (fractional coordinates):
Be1 0.1504 0.2500 0.1250
Be2 0.2500 0.6504 0.3750
Be3 0.2500 0.8496 0.8750
Be4 0.3496 0.2500 0.6250
Be5 0.6504 0.7500 0.6250
Be6 0.7500 0.1504 0.8750
Be7 0.7500 0.3496 0.3750
Be8 0.8496 0.7500 0.1250
Te1 0.0000 0.0000 0.5000
Te2 0.0000 0.5000 0.7500
Te3 0.5000 0.0000 0.2500
Te4 0.5000 0.5000 0.0000
F1 0.0000 0.0000 0.0000
F2 0.0000 0.5000 0.2500
F3 0.5000 0.0000 0.7500
F4 0.5000 0.5000 0.5000

ΔE_f (raw) = -0.53 eV/atom
N(E_F) = 7.950 states/eV/cell
Raw total energy = -3.642 eV/atom

---

2.
First-principles (GGA-PBE) data for a relaxed structure of SrCoSe2, as listed in the Alexandria database.

a b c (Å): 4.4478 4.2824 6.1723
angles (deg): 90.00 111.03 90.00
Atoms (fractional coordinates):
Sr1 0.0000 0.0000 0.0000
Co1 0.3574 0.5000 0.7139
Se1 0.2840 0.0000 0.5665
Se2 0.5551 0.5000 0.1106

ΔE_f (raw) = -0.82 eV/atom
N(E_F) = 2.986 states/eV/cell
Raw total energy = -4.760 eV/atom

---

3.
First-principles (GGA-PBE) data for a relaxed structure of BiN2O, as listed in the Alexandria database.

a b c (Å): 4.4421 4.4421 11.5318
angles (deg): 90.00 90.00 90.00
Atoms (fractional coordinates):
Bi1 0.0000 0.0000 0.0000
Bi2 0.0000 0.5000 0.2500
Bi3 0.5000 0.0000 0.7500
Bi4 0.5000 0.5000 0.5000
N1 0.1713 0.2500 0.6250
N2 0.2500 0.6713 0.8750
N3 0.2500 0.8287 0.3750
N4 0.3287 0.2500 0.1250
N5 0.6713 0.7500 0.1250
N6 0.7500 0.1713 0.3750
N7 0.7500 0.3287 0.8750
N8 0.8287 0.7500 0.6250
O1 0.0000 0.0000 0.5000
O2 0.0000 0.5000 0.7500
O3 0.5000 0.0000 0.2500
O4 0.5000 0.5000 0.0000

ΔE_f (raw) = 1.69 eV/atom
N(E_F) = 11.420 states/eV/cell
Raw total energy = -4.685 eV/atom

---

4.
First-principles (GGA-PBE) data for a relaxed structure of In2AgCl, as listed in the Alexandria database.

a b c (Å): 7.3890 7.3890 7.3890
angles (deg): 90.00 90.00 90.00
Atoms (fractional coordinates):
In1 0.0000 0.0000 0.0000
In2 0.0000 0.5000 0.5000
In3 0.2500 0.2500 0.2500
In4 0.2500 0.7500 0.7500
In5 0.5000 0.0000 0.5000
In6 0.5000 0.5000 0.0000
In7 0.7500 0.2500 0.7500
In8 0.7500 0.7500 0.2500
Ag1 0.0000 0.0000 0.5000
Ag2 0.0000 0.5000 0.0000
Ag3 0.5000 0.0000 0.0000
Ag4 0.5000 0.5000 0.5000
Cl1 0.2500 0.2500 0.7500
Cl2 0.2500 0.7500 0.2500
Cl3 0.7500 0.2500 0.2500
Cl4 0.7500 0.7500 0.7500

ΔE_f (raw) = -0.02 eV/atom
N(E_F) = 3.154 states/eV/cell
Raw total energy = -2.563 eV/atom

---

Per-record magnetic moment, μB/cell: 0.000; 2.325; 0.000; 0.000
Per-record relative energy among the computed polymorphs, eV per formula unit: 0.00; 0.42; 7.41; 1.05